1.
Density functional theory data (GGA-PBE) for a relaxed Zn2Ga8Ag3 crystal.

The density of states at the Fermi level is 3.2 states/eV per cell. As for the energy relative to the elements: 0.0914 eV/atom.

abc: 7.900 7.900 5.294
angles: 98.71 98.71 53.16
Sites, in units of the cell vectors:
Zn (0.196, 0.196, 0.190)
Zn (0.804, 0.804, 0.810)
Ga (0.112, 0.112, 0.571)
Ga (0.138, 0.555, 0.107)
Ga (0.326, 0.326, 0.625)
Ga (0.445, 0.862, 0.893)
Ga (0.555, 0.138, 0.107)
Ga (0.674, 0.674, 0.375)
Ga (0.862, 0.445, 0.893)
Ga (0.888, 0.888, 0.429)
Ag (0.304, 0.696, 0.500)
Ag (0.500, 0.500, 0.000)
Ag (0.696, 0.304, 0.500)


2.
Density functional theory data (GGA-PBE) for a relaxed ScZn2Tc2 crystal.

The density of states at the Fermi level is 4.9 states/eV per cell. The excess energy over the best structure of this formula in the dataset comes out at 0.159 eV/atom. As for the energy relative to the elements: 0.1987 eV/atom.

abc: 6.124 6.124 6.124
angles: 141.45 141.45 55.65
Sites, in units of the cell vectors:
Sc (0.000, 0.000, 0.000)
Zn (0.250, 0.750, 0.500)
Zn (0.750, 0.250, 0.500)
Tc (0.399, 0.399, 0.000)
Tc (0.601, 0.601, 0.000)


3.
Density functional theory data (GGA-PBE) for a relaxed AsSeBr2O crystal.

The density of states at the Fermi level is 5.8 states/eV per cell. The excess energy over the best structure of this formula in the dataset comes out at 0.000 eV/atom. The energy relative to the elements, uncorrected comes out at 0.669 eV per atom.

abc: 5.334 5.334 5.014
angles: 90.00 90.00 90.00
Sites, in units of the cell vectors:
As (0.000, 0.000, 0.000)
Se (0.000, 0.000, 0.500)
Br (0.000, 0.500, 0.000)
Br (0.500, 0.000, 0.000)
O (0.500, 0.500, 0.500)


4.
Density functional theory data (GGA-PBE) for a relaxed La2ThSn2 crystal.

The density of states at the Fermi level is 6.6 states/eV per cell. As for the energy relative to the elements: -0.5770 eV/atom.

abc: 6.412 6.412 6.412
angles: 135.84 112.45 84.31
Sites, in units of the cell vectors:
La (0.204, 0.204, 0.000)
La (0.796, 0.796, 0.000)
Th (0.500, 0.000, 0.500)
Sn (0.209, 0.500, 0.709)
Sn (0.791, 0.500, 0.291)


5.
Density functional theory data (GGA-PBE) for a relaxed As2PPt crystal.

The density of states at the Fermi level is 1.5 states/eV per cell. As for the energy relative to the elements: 0.3314 eV/atom.

abc: 2.830 2.830 8.824
angles: 90.00 90.00 90.00
Sites, in units of the cell vectors:
As (0.000, 0.000, 0.220)
As (0.000, 0.000, 0.780)
P (0.500, 0.500, 0.500)
Pt (0.500, 0.500, 0.000)


6.
Density functional theory data (GGA-PBE) for a relaxed Rb3LaPd crystal.

The density of states at the Fermi level is 4.8 states/eV per cell. As for the energy relative to the elements: 1.2285 eV/atom.

abc: 6.926 6.926 6.926
angles: 90.00 90.00 90.00
Sites, in units of the cell vectors:
Rb (0.000, 0.000, 0.500)
Rb (0.000, 0.500, 0.000)
Rb (0.500, 0.000, 0.000)
La (0.000, 0.000, 0.000)
Pd (0.500, 0.500, 0.500)


7.
Density functional theory data (GGA-PBE) for a relaxed MgZnCdSb crystal.

The density of states at the Fermi level is 2.3 states/eV per cell. The energy relative to the elements, uncorrected comes out at 0.059 eV per atom.

abc: 5.085 5.085 5.085
angles: 60.00 60.00 60.00
Sites, in units of the cell vectors:
Mg (0.000, 0.000, 0.000)
Zn (0.750, 0.750, 0.750)
Cd (0.500, 0.500, 0.500)
Sb (0.250, 0.250, 0.250)


8.
Density functional theory data (GGA-PBE) for a relaxed K3Tl3FeBr8 crystal.

The density of states at the Fermi level is 6.7 states/eV per cell. The energy relative to the elements, uncorrected comes out at -1.104 eV per atom.

abc: 9.316 9.316 9.377
angles: 119.70 119.70 60.09
Sites, in units of the cell vectors:
K (0.000, 0.000, 0.000)
K (0.000, 0.500, 0.000)
K (0.500, 0.000, 0.000)
Tl (0.000, 0.500, 0.500)
Tl (0.500, 0.000, 0.500)
Tl (0.500, 0.500, 0.500)
Fe (0.500, 0.500, 0.000)
Br (0.248, 0.248, 0.243)
Br (0.295, 0.704, 0.202)
Br (0.296, 0.296, 0.798)
Br (0.296, 0.705, 0.798)
Br (0.704, 0.295, 0.202)
Br (0.704, 0.704, 0.202)
Br (0.705, 0.296, 0.798)
Br (0.752, 0.752, 0.757)


9.
Density functional theory data (GGA-PBE) for a relaxed K3SnHg crystal.

The density of states at the Fermi level is 4.0 states/eV per cell. The excess energy over the best structure of this formula in the dataset comes out at 0.000 eV/atom. As for the energy relative to the elements: -0.1155 eV/atom.

abc: 7.499 7.499 9.300
angles: 112.01 112.01 88.40
Sites, in units of the cell vectors:
K (0.015, 0.445, 0.729)
K (0.056, 0.056, 0.243)
K (0.445, 0.015, 0.729)
K (0.555, 0.985, 0.271)
K (0.944, 0.944, 0.757)
K (0.985, 0.555, 0.271)
Sn (0.423, 0.423, 0.591)
Sn (0.577, 0.577, 0.409)
Hg (0.322, 0.322, 0.074)
Hg (0.678, 0.678, 0.926)


10.
Density functional theory data (GGA-PBE) for a relaxed Y2PtF crystal.

The density of states at the Fermi level is 3.8 states/eV per cell. The excess energy over the best structure of this formula in the dataset comes out at 0.000 eV/atom. The energy relative to the elements, uncorrected comes out at -1.605 eV per atom.

abc: 7.202 7.202 7.202
angles: 132.38 132.38 69.63
Sites, in units of the cell vectors:
Y (0.077, 0.625, 0.952)
Y (0.375, 0.327, 0.452)
Y (0.673, 0.125, 0.048)
Y (0.875, 0.923, 0.548)
Pt (0.250, 0.750, 0.500)
Pt (0.500, 0.500, 0.000)
F (0.000, 0.000, 0.000)
F (0.750, 0.250, 0.500)